# 1
This record from Alexandria describes a relaxed Rb3Y2TmSe6 crystal. The functional is PBE.

The structure belongs to space group C2/m (No. 12); the cell edges are 7.322, 12.681 and 8.354 Å and the angles 90.00°, 107.00° and 90.00°. The asymmetric unit holds Rb at (0.000, 0.000, 0.000), Rb at (0.000, 0.332, 0.000), Y at (0.000, 0.167, 0.500), Tm at (0.000, 0.500, 0.500), Se at (0.230, 0.335, 0.695) and Se at (0.235, 0.000, 0.695).

The value obtained for the theoretical density is 4.82 g cm⁻³. The calculation puts the formation energy from raw total energies at -20.88 eV per formula unit. Its spin magnetization is 0.0 μB/f.u. The calculation puts the density of states at the Fermi level at 0.000 states/eV per atom.

# 2
This record from Alexandria describes a relaxed Rb3YTm3Se8 crystal. The functional is PBE.

The structure belongs to space group R-3m (No. 166, hexagonal axes); the cell edges are 8.2451, 8.2451 and 24.5607 Å and the angles 90.00°, 90.00° and 120.00°. The asymmetric unit holds Rb at (0.0000, 0.5000, 0.0000), Y at (0.0000, 0.0000, 0.5000), Tm at (0.0000, 0.5000, 0.5000), Se at (0.0000, 0.0000, 0.2311) and Se at (0.0049, 0.5024, 0.7690).

The value obtained for the theoretical density is 5.11 g cm⁻³. The calculation puts the formation energy from raw total energies at -24.97 eV per formula unit. Its spin magnetization is 0.0 μB/f.u. The calculation puts the density of states at the Fermi level at 0.566 states/eV per atom.

# 3
This record from Alexandria describes a relaxed Rb2TmZn2Se4 crystal. The functional is PBE.

The structure belongs to space group C2/m (No. 12); the cell edges are 16.279, 4.078 and 8.382 Å and the angles 90.00°, 112.60° and 90.00°. The asymmetric unit holds Rb at (0.129, 0.000, 0.061), Tm at (0.000, 0.000, 0.500), Zn at (0.185, 0.500, 0.512), Se at (0.030, 0.500, 0.287) and Se at (0.187, 0.000, 0.699).

The value obtained for the theoretical density is 5.09 g cm⁻³. The calculation puts the formation energy from raw total energies at -9.79 eV per formula unit. Its spin magnetization is 0.0 μB/f.u. The calculation puts the density of states at the Fermi level at 0.455 states/eV per atom.

# 4
This record from Alexandria describes a relaxed Rb4Tm3ZrSe8 crystal. The functional is PBE.

The structure belongs to space group R-3m (No. 166, hexagonal axes); the cell edges are 8.2772, 8.2772 and 23.9715 Å and the angles 90.00°, 90.00° and 120.00°. The asymmetric unit holds Rb at (0.0000, 0.0000, 0.0000), Rb at (0.0000, 0.5000, 0.0000), Tm at (0.0000, 0.5000, 0.5000), Zr at (0.0000, 0.0000, 0.5000), Se at (0.0000, 0.0000, 0.2316) and Se at (0.0076, 0.5038, 0.2310).

The value obtained for the theoretical density is 5.50 g cm⁻³. The calculation puts the formation energy from raw total energies at -25.61 eV per formula unit. Its spin magnetization is 0.7 μB/f.u. The calculation puts the density of states at the Fermi level at 0.262 states/eV per atom.

# 5
This record from Alexandria describes a relaxed Rb3Tm3ZrSe8 crystal. The functional is PBE.

The structure belongs to space group C2/m (No. 12); the cell edges are 14.167, 8.185 and 9.430 Å and the angles 90.00°, 120.05° and 90.00°. The asymmetric unit holds Rb at (0.000, 0.000, 0.000), Rb at (0.250, 0.250, 0.000), Tm at (0.000, 0.500, 0.500), Tm at (0.250, 0.250, 0.500), Zr at (0.000, 0.000, 0.500), Se at (0.018, 0.242, 0.312), Se at (0.224, 0.000, 0.688) and Se at (0.231, 0.500, 0.693).

The value obtained for the theoretical density is 5.21 g cm⁻³. The calculation puts the formation energy from raw total energies at -24.92 eV per formula unit. Its spin magnetization is 0.0 μB/f.u.

# 6
This record from Alexandria describes a relaxed Rb2Tm2ZrSe6 crystal. The functional is PBE.

The structure belongs to space group C2/m (No. 12); the cell edges are 7.028, 12.118 and 8.543 Å and the angles 90.00°, 106.26° and 90.00°. The asymmetric unit holds Rb at (0.000, 0.169, 0.000), Tm at (0.000, 0.333, 0.500), Zr at (0.000, 0.000, 0.500), Se at (0.226, 0.160, 0.690) and Se at (0.242, 0.500, 0.689).

The value obtained for the theoretical density is 5.11 g cm⁻³. The calculation puts the formation energy from raw total energies at -18.02 eV per formula unit. Its spin magnetization is 0.0 μB/f.u.

- Which value of formation energy from raw total energies does entry 4 give?
  -25.61 eV per formula unit

- What is the formula in the third record?
  Rb2TmZn2Se4

- Which of these has the lowest theoretical density?
  Rb3Y2TmSe6